This record from Alexandria via LeMat-Bulk describes a relaxed FeTe5 crystal. The functional is PBE.

It has space group P4/mmm (No. 123), with a = 3.0880 Å, b = 3.0880 Å, c = 18.5543 Å, α = 90.00°, β = 90.00° and γ = 90.00°. The distinct sites, in fractional coordinates, are Fe at (0.0000, 0.0000, 0.0000), Te at (0.0000, 0.0000, 0.2772), Te at (0.5000, 0.5000, 0.0904) and Te at (0.5000, 0.5000, 0.5000).

=====

This record from Alexandria via LeMat-Bulk describes a relaxed Mg2HgO crystal. The functional is PBE.

The energy relative to the lowest polymorph listed for this composition comes out at 0.912 eV per atom.

It has space group Fm-3m (No. 225), with a = 6.5153 Å, b = 6.5153 Å, c = 6.5153 Å, α = 90.00°, β = 90.00° and γ = 90.00°. The distinct sites, in fractional coordinates, are Mg at (0.2500, 0.2500, 0.2500), Hg at (0.0000, 0.0000, 0.0000) and O at (0.0000, 0.0000, 0.5000).

=====

| no. | spin magnetization (μB per atom) | E_form (uncorrected) (eV per atom) |
| --- | --- | --- |
| 1 | 0.21 | 0.195 |
| 2 | 0.00 | -0.337 |